(1)
A relaxed VGaAgF6 crystal. Source: Alexandria, functional GGA+U.

Properties
The space-group type is P-31c (163).

Lattice parameters (Å, degrees): 5.4584 5.4584 10.3016 90.00 90.00 120.00
Last column: nearest neighbours and their distance in Å.
Atoms (fractional coordinates):
V 0.3333 0.6667 0.2500  6 F 2.13
V 0.6667 0.3333 0.7500  6 F 2.13
Ga 0.6667 0.3333 0.2500  6 F 1.94
Ga 0.3333 0.6667 0.7500  6 F 1.94
Ag 0.0000 0.0000 0.0000  6 F 2.52
Ag 0.0000 0.0000 0.5000  6 F 2.52
F 0.6453 0.6187 0.1471  1 Ga 1.94, 1 V 2.13
F 0.9735 0.3547 0.1471  1 Ga 1.94, 1 V 2.13
F 0.3547 0.9735 0.6471  1 Ga 1.94, 1 V 2.13
F 0.0265 0.6453 0.8529  1 Ga 1.94, 1 V 2.13
F 0.3813 0.3547 0.3529  1 Ga 1.94, 1 V 2.13
F 0.9735 0.6187 0.3529  1 Ga 1.94, 1 V 2.13
F 0.6187 0.9735 0.8529  1 Ga 1.94, 1 V 2.13
F 0.6453 0.0265 0.3529  1 Ga 1.94, 1 V 2.13
F 0.0265 0.3813 0.6471  1 Ga 1.94, 1 V 2.13
F 0.3813 0.0265 0.1471  1 Ga 1.94, 1 V 2.13
F 0.6187 0.6453 0.6471  1 Ga 1.94, 1 V 2.13
F 0.3547 0.3813 0.8529  1 Ga 1.94, 1 V 2.13

(2)
A relaxed GaAgWF2 crystal. Source: Alexandria, functional GGA+U.

Properties
The space-group type is P4/mmm (123).

Lattice parameters (Å, degrees): 4.2389 5.4864 4.2389 90.00 90.00 90.00
Last column: nearest neighbours and their distance in Å.
Atoms (fractional coordinates):
Ga 0.0000 0.5000 0.0000  2 Ag 2.74, 4 W 3.00
Ag 0.0000 0.0000 0.0000  4 F 2.12
W 0.5000 0.5000 0.5000  4 Ga 3.00
F 0.0000 0.0000 0.5000  2 Ag 2.12
F 0.5000 0.0000 0.0000  2 Ag 2.12

no.,spin magnetization (μB/cell),uncorrected energy (eV per formula unit)
1,6.00,-45.09
2,3.93,-17.03